Record 1
The following is a PBE-GGA calculation of a relaxed structure of Dy2SiPIr6, from Alexandria.

Properties
The total energy comes out at -7.88 eV per atom. Its space group is No. 59. The value obtained for the density of states at the Fermi level is 0.5710 states/eV/atom. As for the uncorrected formation energy: -54.4 kJ per mole of atoms. The calculation puts the total moment at 0.00 μB/f.u.

Cell: 5.3891 8.5659 7.9338 Å, 90.00 90.00 90.00°
Fractional coordinates of all 20 atoms:
Dy: 0.2500 0.0218 0.2123
Dy: 0.2500 0.4782 0.2123
Dy: 0.7500 0.5218 0.7877
Dy: 0.7500 0.9782 0.7877
Si: 0.2500 0.7500 0.7745
Si: 0.7500 0.2500 0.2255
P: 0.2500 0.2500 0.7396
P: 0.7500 0.7500 0.2604
Ir: 0.0023 0.2500 0.4725
Ir: 0.0069 0.7500 0.0271
Ir: 0.2500 0.0058 0.6020
Ir: 0.2500 0.4942 0.6020
Ir: 0.4931 0.7500 0.0271
Ir: 0.4977 0.2500 0.4725
Ir: 0.5023 0.7500 0.5275
Ir: 0.5069 0.2500 0.9729
Ir: 0.7500 0.5058 0.3980
Ir: 0.7500 0.9942 0.3980
Ir: 0.9931 0.2500 0.9729
Ir: 0.9977 0.7500 0.5275

Record 2
The following is a PBE-GGA calculation of a relaxed structure of Dy3SnP2Ir9, from Alexandria.

Properties
The total energy comes out at -7.58 eV per atom. Its space group is No. 164. The value obtained for the density of states at the Fermi level is 0.6778 states/eV/atom. The value obtained for the energy of formation is -0.354 eV per atom. The calculation puts the total moment at 0.00 μB/f.u.

Cell: 5.6491 5.6491 10.4964 Å, 90.00 90.00 120.00°
Fractional coordinates of all 15 atoms:
Dy: 0.0000 0.0000 0.0000
Dy: 0.3333 0.6667 0.5938
Dy: 0.6667 0.3333 0.4062
Sn: 0.0000 0.0000 0.5000
P: 0.3333 0.6667 0.1558
P: 0.6667 0.3333 0.8442
Ir: 0.0000 0.5000 0.0000
Ir: 0.1605 0.3211 0.2982
Ir: 0.1605 0.8395 0.2982
Ir: 0.3211 0.1605 0.7018
Ir: 0.5000 0.0000 0.0000
Ir: 0.5000 0.5000 0.0000
Ir: 0.6789 0.8395 0.2982
Ir: 0.8395 0.1605 0.7018
Ir: 0.8395 0.6789 0.7018

Record 3
The following is a PBE-GGA calculation of a relaxed structure of TbDyP2Ir5, from Alexandria.

Properties
The total energy comes out at -7.76 eV per atom. Its space group is No. 123. The value obtained for the density of states at the Fermi level is 0.5698 states/eV/atom. The value obtained for the energy of formation is -0.611 eV per atom. The calculation puts the total moment at 0.00 μB/f.u.

Cell: 4.0064 4.0064 11.0808 Å, 90.00 90.00 90.00°
Fractional coordinates of all 9 atoms:
Tb: 0.0000 0.0000 0.0000
Dy: 0.0000 0.0000 0.5000
P: 0.5000 0.5000 0.2057
P: 0.5000 0.5000 0.7943
Ir: 0.0000 0.5000 0.3037
Ir: 0.0000 0.5000 0.6963
Ir: 0.5000 0.0000 0.3037
Ir: 0.5000 0.0000 0.6963
Ir: 0.5000 0.5000 0.0000